Computed, not measured: a geometry-optimized NdDy2ZrSc4 structure at the GGA-PBE level of DFT.

Cell: 4.807 4.807 9.323 Å, 90.00 90.00 90.00°
Atoms (fractional coordinates):
1 Nd 0.000 0.000 0.000
2 Dy 0.000 0.000 0.500
3 Dy 0.500 0.500 0.000
4 Zr 0.500 0.500 0.500
5 Sc 0.000 0.500 0.263
6 Sc 0.000 0.500 0.737
7 Sc 0.500 0.000 0.263
8 Sc 0.500 0.000 0.737

space-group type = No. 123
magnetization = 0.00 μB/atom
N(E_F) = 1.526 states/eV/atom
DFT total energy = -47.4 eV for the cell shown
DFT formation energy = 0.059 eV per atom
theoretical density = 5.71 g/cm3